Record 1
## SmU2N4 (PBE)

Data for a geometry-optimized SmU2N4 structure.

abc: 3.428 5.945 10.629
angles: 90.00 90.00 106.76
Atoms (fractional coordinates):
U 0.131 0.262 0.430
U 0.131 0.262 0.070
U 0.869 0.738 0.570
U 0.869 0.738 0.930
N 0.770 0.541 0.105
N 0.500 0.000 0.500
N 0.230 0.459 0.605
N 0.500 0.000 0.000
N 0.230 0.459 0.895
N 0.959 0.917 0.750
N 0.041 0.083 0.250
N 0.770 0.541 0.395
Sm 0.392 0.784 0.250
Sm 0.608 0.216 0.750

Summary:
Space-group type: Cmcm (63)
Magnetization (μB per formula unit): 2.6
ΔE_f (raw) (eV per atom): -1.384



Record 2
## BaTaW2 (PBE)

Data for a geometry-optimized BaTaW2 structure.

abc: 4.866 4.866 4.866
angles: 60.00 60.00 60.00
Atoms (fractional coordinates):
Ba 0.000 0.000 0.000
W 0.750 0.750 0.750
W 0.250 0.250 0.250
Ta 0.500 0.500 0.500

Summary:
Space-group type: Fm-3m (225)
Magnetization (μB per formula unit): 0.0
Formation enthalpy at 0 K (kJ/mol of atoms): 137



Record 3
## PmSmY6Er2 (PBE)

Data for a geometry-optimized PmSmY6Er2 structure.

abc: 9.601 8.795 8.795
angles: 116.99 93.95 93.95
Atoms (fractional coordinates):
Sm 0.750 0.028 0.972
Sm 0.250 0.972 0.028
Y 0.819 0.433 0.982
Y 0.443 0.246 0.882
Y 0.181 0.567 0.018
Y 0.319 0.982 0.433
Y 0.116 0.706 0.489
Y 0.884 0.294 0.511
Y 0.616 0.489 0.706
Y 0.681 0.018 0.567
Y 0.384 0.511 0.294
Y 0.557 0.754 0.118
Y 0.057 0.118 0.754
Y 0.943 0.882 0.246
Er 0.952 0.703 0.805
Er 0.048 0.297 0.195
Er 0.452 0.805 0.703
Er 0.548 0.195 0.297
Pm 0.250 0.409 0.591
Pm 0.750 0.591 0.409

Summary:
Space-group type: C2/c (15)
Magnetization (μB per formula unit): 0.0
Formation enthalpy at 0 K (kJ/mol of atoms): 12



Record 4
## CoBr3 (PBE)

Data for a geometry-optimized CoBr3 structure.

abc: 3.479 7.019 7.015
angles: 42.82 90.00 90.00
Atoms (fractional coordinates):
Br 0.000 0.126 0.125
Br 0.500 0.750 0.750
Br 0.000 0.374 0.375
Co 0.500 0.250 0.250

Summary:
Space-group type: Cmmm (65)
Magnetization (μB per formula unit): 0.8
ΔE_f (raw) (eV per atom): -0.172



Record 5
## Dy5ErSn4 (PBE)

Data for a geometry-optimized Dy5ErSn4 structure.

abc: 3.661 9.526 9.632
angles: 105.50 100.96 90.00
Atoms (fractional coordinates):
Sn 0.332 0.914 0.664
Sn 0.668 0.086 0.336
Sn 0.005 0.255 0.010
Sn 0.995 0.745 0.990
Dy 0.165 0.812 0.329
Dy 0.176 0.359 0.351
Dy 0.824 0.641 0.649
Dy 0.500 0.500 0.000
Dy 0.835 0.188 0.671
Er 0.500 0.000 0.000

Summary:
Space-group type: C2/m (12)
Magnetization (μB per formula unit): 0.0
Formation enthalpy at 0 K (kJ/mol of atoms): -30



Record 6
## Th6Fe2Hg (PBE)

Data for a geometry-optimized Th6Fe2Hg structure.

abc: 8.562 8.562 8.562
angles: 105.09 108.56 114.92
Atoms (fractional coordinates):
Th 0.691 0.019 0.328
Th 0.120 0.299 0.822
Th 0.209 0.231 0.440
Th 0.791 0.231 0.021
Th 0.880 0.701 0.178
Th 0.309 0.637 0.328
Th 0.791 0.769 0.560
Th 0.523 0.701 0.822
Th 0.309 0.981 0.672
Th 0.477 0.299 0.178
Th 0.691 0.363 0.672
Th 0.209 0.769 0.979
Hg 0.000 0.000 0.000
Hg 0.000 0.500 0.500
Fe 0.500 0.368 0.868
Fe 0.500 0.632 0.132
Fe 0.651 0.000 0.651
Fe 0.349 0.000 0.349

Summary:
Space-group type: Immm (71)
Magnetization (μB per formula unit): 0.0
Formation enthalpy at 0 K (kJ/mol of atoms): -6



Record 7
## MgHg5 (PBE)

Data for a geometry-optimized MgHg5 structure.

abc: 6.491 6.491 6.491
angles: 50.20 50.20 50.20
Atoms (fractional coordinates):
Hg 0.836 0.500 0.164
Hg 0.336 0.336 0.336
Hg 0.164 0.836 0.500
Hg 0.500 0.164 0.836
Hg 0.664 0.664 0.664
Mg 0.000 0.000 0.000

Summary:
Space-group type: R32 (155)
Magnetization (μB per formula unit): 0.0
Formation enthalpy at 0 K (kJ/mol of atoms): -2



Record 8
## Rb2VAsS4 (PBE)

Data for a geometry-optimized Rb2VAsS4 structure.

abc: 6.412 7.700 11.956
angles: 83.59 74.45 65.40
Atoms (fractional coordinates):
V 0.750 0.500 0.500
V 0.000 0.000 0.000
Rb 0.179 0.000 0.643
Rb 0.571 0.500 0.857
Rb 0.821 0.000 0.357
Rb 0.929 0.500 0.143
S 0.838 0.688 0.600
S 0.912 0.812 0.900
S 0.126 0.312 0.400
S 0.474 0.688 0.400
S 0.624 0.188 0.100
S 0.276 0.812 0.100
S 0.188 0.188 0.900
S 0.562 0.312 0.600
As 0.500 0.000 0.000
As 0.250 0.500 0.500

Summary:
Space-group type: Fddd (70)
Magnetization (μB per formula unit): 2.0
ΔE_f (raw) (eV per atom): -0.703



Record 9
## Mg2InHg2 (PBE)

Data for a geometry-optimized Mg2InHg2 structure.

abc: 8.007 8.007 3.608
angles: 90.00 90.00 90.00
Atoms (fractional coordinates):
Mg 0.161 0.661 0.500
Mg 0.839 0.339 0.500
Mg 0.339 0.161 0.500
Mg 0.661 0.839 0.500
Hg 0.362 0.862 0.000
Hg 0.638 0.138 0.000
Hg 0.862 0.638 0.000
Hg 0.138 0.362 0.000
In 0.500 0.500 0.000
In 0.000 0.000 0.000

Summary:
Space-group type: P4/mbm (127)
Magnetization (μB per formula unit): 0.0
Formation enthalpy at 0 K (kJ/mol of atoms): -12



Record 10
## ZnPS2O (PBE)

Data for a geometry-optimized ZnPS2O structure.

abc: 4.485 4.485 4.819
angles: 90.00 90.00 90.00
Atoms (fractional coordinates):
S 0.000 0.500 0.000
S 0.500 0.000 0.000
P 0.000 0.000 0.500
Zn 0.000 0.000 0.000
O 0.500 0.500 0.500

Summary:
Space-group type: P4/mmm (123)
Magnetization (μB per formula unit): 0.0
ΔE_f (raw) (eV per atom): 1.350



Record 11
## SrAc3Bi4 (PBE)

Data for a geometry-optimized SrAc3Bi4 structure.

abc: 4.883 8.446 8.446
angles: 109.52 90.00 90.00
Atoms (fractional coordinates):
Ac 0.000 0.000 0.500
Ac 0.500 0.500 0.500
Ac 0.000 0.500 0.000
Sr 0.500 0.000 0.000
Bi 0.500 0.750 0.250
Bi 0.500 0.250 0.750
Bi 0.000 0.251 0.251
Bi 0.000 0.749 0.749

Summary:
Space-group type: Cmmm (65)
Magnetization (μB per formula unit): 0.0
Formation enthalpy at 0 K (kJ/mol of atoms): -88



Record 12
## MoOsPt (PBE)

Data for a geometry-optimized MoOsPt structure.

abc: 2.775 2.775 6.842
angles: 90.00 90.00 120.00
Atoms (fractional coordinates):
Mo 0.000 0.000 0.008
Pt 0.333 0.667 0.669
Os 0.667 0.333 0.322

Summary:
Space-group type: P3m1 (156)
Magnetization (μB per formula unit): 0.0
Formation enthalpy at 0 K (kJ/mol of atoms): -2



Record 13
## Ag5PS8 (PBE)

Data for a geometry-optimized Ag5PS8 structure.

abc: 8.402 8.402 8.402
angles: 96.14 96.14 141.81
Atoms (fractional coordinates):
Ag 0.591 0.079 0.185
Ag 0.500 0.500 0.000
Ag 0.895 0.406 0.815
Ag 0.594 0.409 0.488
Ag 0.921 0.105 0.512
S 0.684 0.441 0.218
S 0.223 0.466 0.782
S 0.182 0.888 0.686
S 0.112 0.798 0.294
S 0.202 0.496 0.314
S 0.559 0.777 0.243
S 0.504 0.818 0.706
S 0.534 0.316 0.757
P 0.250 0.750 0.500

Summary:
Space-group type: I-4 (82)
Magnetization (μB per formula unit): 0.0
ΔE_f (raw) (eV per atom): 0.182



Record 14
## CrCdBr2 (PBE)

Data for a geometry-optimized CrCdBr2 structure.

abc: 6.688 6.688 6.798
angles: 59.25 59.25 30.86
Atoms (fractional coordinates):
Br 0.912 0.912 0.088
Br 0.588 0.588 0.412
Cr 0.250 0.250 0.250
Cd 0.750 0.750 0.750

Summary:
Space-group type: C2/m (12)
Magnetization (μB per formula unit): 4.0
ΔE_f (raw) (eV per atom): -0.305



Record 15
## CsNi2PtBr (PBE)

Data for a geometry-optimized CsNi2PtBr structure.

abc: 4.467 6.654 4.467
angles: 90.00 90.00 90.00
Atoms (fractional coordinates):
Ni 0.000 0.000 0.500
Ni 0.500 0.000 0.000
Pt 0.500 0.500 0.500
Br 0.000 0.000 0.000
Cs 0.000 0.500 0.000

Summary:
Space-group type: P4/mmm (123)
Magnetization (μB per formula unit): 0.8
ΔE_f (raw) (eV per atom): 0.945



Record 16
## K2AlBr (PBE)

Data for a geometry-optimized K2AlBr structure.

abc: 6.006 6.006 6.006
angles: 60.00 60.00 60.00
Atoms (fractional coordinates):
Al 0.500 0.500 0.500
K 0.000 0.000 0.000
K 0.250 0.250 0.250
Br 0.750 0.750 0.750

Summary:
Space-group type: F-43m (216)
Magnetization (μB per formula unit): 0.0
ΔE_f (raw) (eV per atom): -0.097



Record 17
## Pm3Pr2Er6 (PBE)

Data for a geometry-optimized Pm3Pr2Er6 structure.

abc: 4.766 4.766 16.944
angles: 98.08 98.08 90.00
Atoms (fractional coordinates):
Pr 0.547 0.547 0.093
Pr 0.453 0.453 0.907
Er 0.307 0.307 0.615
Er 0.378 0.878 0.757
Er 0.878 0.378 0.757
Er 0.122 0.622 0.243
Er 0.622 0.122 0.243
Er 0.693 0.693 0.385
Pm 0.204 0.204 0.408
Pm 0.796 0.796 0.592
Pm 0.000 0.000 0.000

Summary:
Space-group type: I4/mmm (139)
Magnetization (μB per formula unit): 0.0
Formation enthalpy at 0 K (kJ/mol of atoms): 25



Record 18
## Hf2TaBe6 (PBE)

Data for a geometry-optimized Hf2TaBe6 structure.

abc: 3.121 6.458 6.458
angles: 120.00 90.00 90.00
Atoms (fractional coordinates):
Ta 0.000 0.000 0.000
Be 0.500 0.000 0.672
Be 0.500 0.672 0.672
Be 0.500 0.672 0.000
Be 0.500 0.328 0.000
Be 0.500 0.000 0.328
Be 0.500 0.328 0.328
Hf 0.000 0.667 0.333
Hf 0.000 0.333 0.667

Summary:
Space-group type: P6/mmm (191)
Magnetization (μB per formula unit): 0.0
Formation enthalpy at 0 K (kJ/mol of atoms): -17



Record 19
## DyPd6Au2 (PBE)

Data for a geometry-optimized DyPd6Au2 structure.

abc: 4.522 4.522 9.725
angles: 76.55 76.55 60.00
Atoms (fractional coordinates):
Pd 0.596 0.596 0.211
Pd 0.703 0.703 0.890
Pd 0.198 0.198 0.405
Pd 0.802 0.802 0.595
Pd 0.404 0.404 0.789
Pd 0.297 0.297 0.110
Au 0.898 0.898 0.307
Au 0.102 0.102 0.693
Dy 0.000 0.000 0.000

Summary:
Space-group type: R-3m (166)
Magnetization (μB per formula unit): 0.0
Formation enthalpy at 0 K (kJ/mol of atoms): -21



Record 20
## CaLaPmCd (PBE)

Data for a geometry-optimized CaLaPmCd structure.

abc: 3.724 3.724 9.605
angles: 90.00 90.00 90.00
Atoms (fractional coordinates):
Ca 0.500 0.500 0.785
Pm 0.000 0.000 0.080
La 0.500 0.500 0.346
Cd 0.000 0.000 0.574

Summary:
Space-group type: P4mm (99)
Magnetization (μB per formula unit): 0.0
Formation enthalpy at 0 K (kJ/mol of atoms): -13



Record 21
## LaScRu2 (PBE)

Data for a geometry-optimized LaScRu2 structure.

abc: 5.951 5.951 5.951
angles: 59.48 150.93 129.34
Atoms (fractional coordinates):
La 0.000 0.500 0.500
Sc 0.000 0.000 0.000
Ru 0.000 0.233 0.233
Ru 0.000 0.767 0.767

Summary:
Space-group type: Immm (71)
Magnetization (μB per formula unit): 0.0
Formation enthalpy at 0 K (kJ/mol of atoms): 59



Record 22
## Li2PuNp2S6 (PBE)

Data for a geometry-optimized Li2PuNp2S6 structure.

abc: 6.938 6.938 6.494
angles: 100.17 100.17 120.41
Atoms (fractional coordinates):
Li 0.830 0.170 0.000
Li 0.170 0.830 0.000
S 0.072 0.422 0.741
S 0.928 0.578 0.259
S 0.578 0.928 0.259
S 0.422 0.072 0.741
S 0.253 0.253 0.254
S 0.747 0.747 0.746
Pu 0.000 0.000 0.500
Np 0.664 0.336 0.500
Np 0.336 0.664 0.500

Summary:
Space-group type: C2/m (12)
Magnetization (μB per formula unit): 1.7
ΔE_f (raw) (eV per atom): -1.373



Record 23
## KBeCd (PBE)

Data for a geometry-optimized KBeCd structure.

abc: 5.106 5.106 5.106
angles: 60.00 60.00 60.00
Atoms (fractional coordinates):
Be 0.500 0.500 0.500
Cd 0.750 0.750 0.750
K 0.000 0.000 0.000

Summary:
Space-group type: F-43m (216)
Magnetization (μB per formula unit): 0.0
Formation enthalpy at 0 K (kJ/mol of atoms): 81



Record 24
## Ho7Sn2C2 (PBE)

Data for a geometry-optimized Ho7Sn2C2 structure.

abc: 3.494 9.137 9.137
angles: 68.73 78.98 78.98
Atoms (fractional coordinates):
Sn 0.000 0.779 0.221
Sn 0.500 0.361 0.639
Ho 0.843 0.382 0.933
Ho 0.157 0.067 0.618
Ho 0.639 0.466 0.257
Ho 0.361 0.743 0.534
Ho 0.191 0.727 0.891
Ho 0.809 0.109 0.273
Ho 0.500 0.039 0.961
C 0.737 0.853 0.673
C 0.263 0.327 0.147

Summary:
Space-group type: Imm2 (44)
Magnetization (μB per formula unit): 0.0
Formation enthalpy at 0 K (kJ/mol of atoms): -26